# PBE NbCuN2F, optimized geometry
data_NbCuN2F
_chemical_formula_sum 'Nb1 Cu1 N2 F1'
_cell_length_a 3.8129
_cell_length_b 3.8129
_cell_length_c 3.6146
_cell_angle_alpha 90.00
_cell_angle_beta 90.00
_cell_angle_gamma 90.00
_space_group_name_H-M_alt 'P 4/m m m'
_space_group_IT_number 123
_space_group_name_Hall '-P 4 2'
loop_
_atom_site_label
_atom_site_fract_x
_atom_site_fract_y
_atom_site_fract_z
Nb1 0.0000 0.0000 0.0000
Cu1 0.5000 0.5000 0.5000
N1 0.0000 0.5000 0.5000
F1 0.5000 0.5000 0.0000
# Formation energy without anion corrections in kJ/mol of atoms: 47.4
# Offset from the most stable computed form in eV per atom: 0.6538
# Spin magnetization in μB/cell: 0.5